CdMoPO6: optimized geometry, GGA-PBEsol.

Output
- E_tot: -7.48 eV/atom
- Crystal system: monoclinic
- SG: P2_1/c, No. 14
- Theoretical density: 4.84 g/cm³
- Calculated volume: 12.8 A^3/atom

Lattice parameters (Å, degrees): 4.903 8.550 11.032 90.00 95.76 90.00
Last column: magnetic moment on the atom in μB.
Sites, in units of the cell vectors:
O1 0.171 0.462 0.224  0.01
O2 0.338 0.785 0.061  -0.04
O3 0.162 0.285 0.439  -0.04
O4 0.671 0.038 0.724  0.01
O5 0.660 0.392 0.536  0.05
O6 0.222 0.983 0.813  0.00
O7 0.964 0.733 0.223  0.01
O8 0.329 0.962 0.276  0.01
O9 0.838 0.715 0.561  -0.04
O10 0.246 0.984 0.584  0.00
O11 0.662 0.215 0.939  -0.04
O12 0.746 0.516 0.084  0.00
O13 0.464 0.767 0.723  0.01
O14 0.778 0.017 0.187  0.00
O15 0.160 0.108 0.036  0.05
O16 0.278 0.483 0.687  0.00
O17 0.036 0.267 0.777  0.01
O18 0.536 0.233 0.277  0.01
O19 0.840 0.892 0.964  0.05
O20 0.829 0.538 0.776  0.01
O21 0.722 0.517 0.313  0.00
O22 0.754 0.016 0.416  0.00
O23 0.340 0.608 0.464  0.05
O24 0.254 0.484 0.916  0.00
P1 0.107 0.444 0.791  0.01
P2 0.607 0.056 0.291  0.01
P3 0.893 0.556 0.209  0.01
P4 0.393 0.944 0.709  0.01
Mo1 0.104 0.909 0.112  0.88
Mo2 0.396 0.409 0.388  0.88
Mo3 0.896 0.091 0.888  0.88
Mo4 0.604 0.591 0.612  0.88
Cd1 0.098 0.829 0.423  0.02
Cd2 0.402 0.329 0.077  0.02
Cd3 0.598 0.671 0.923  0.02
Cd4 0.902 0.171 0.577  0.02